No. 1
An optimized crystal structure of TbAlCdCu, computed with PBE.

DOS at the Fermi energy (states/eV per atom): 0.434
E_form (eV per atom): -0.231
Total magnetic moment (Bohr magnetons per cell): 0.00

```
TbAlCdCu
1.0
0.0000 3.3902 3.3902
3.3902 0.0000 3.3902
3.3902 3.3902 0.0000
Tb Al Cd Cu
1 1 1 1
direct
0.0000 0.0000 0.0000 Tb
0.5000 0.5000 0.5000 Al
0.7500 0.7500 0.7500 Cd
0.2500 0.2500 0.2500 Cu
```


No. 2
An optimized crystal structure of AlCdCu2Te4, computed with PBE.

DOS at the Fermi energy (states/eV per atom): 0.692
Total magnetic moment (Bohr magnetons per cell): 0.00
ΔE_f (raw) (kJ per mole of atoms): -27.1

```
AlCdCu2Te4
1.0
-3.0817 3.0817 6.1642
3.0817 -3.0817 6.1642
3.0817 3.0817 -6.1642
Al Cd Cu Te
1 1 2 4
direct
0.0000 0.0000 0.0000 Al
0.5000 0.5000 0.0000 Cd
0.2500 0.7500 0.5000 Cu
0.7500 0.2500 0.5000 Cu
0.1016 0.6272 0.0000 Te
0.3728 0.3728 0.4744 Te
0.6272 0.1016 0.0000 Te
0.8984 0.8984 0.5256 Te
```


No. 3
An optimized crystal structure of ThAlCdCu, computed with PBE.

DOS at the Fermi energy (states/eV per atom): 0.197
E_form (eV per atom): -0.108
Total magnetic moment (Bohr magnetons per cell): 0.00

```
ThAlCdCu
1.0
0.0000 3.4868 3.4868
3.4868 0.0000 3.4868
3.4868 3.4868 0.0000
Th Al Cd Cu
1 1 1 1
direct
0.0000 0.0000 0.0000 Th
0.2500 0.2500 0.2500 Al
0.5000 0.5000 0.5000 Cd
0.7500 0.7500 0.7500 Cu
```


No. 4
An optimized crystal structure of Th2Al4CdCu3, computed with PBE.

DOS at the Fermi energy (states/eV per atom): 0.588
E_form (eV per atom): -0.362
Total magnetic moment (Bohr magnetons per cell): 0.00

```
Th2Al4CdCu3
1.0
4.2730 0.0000 0.0000
0.0000 4.2730 0.0000
0.0000 0.0000 10.4921
Th Al Cd Cu
2 4 1 3
direct
0.0000 0.5000 0.2396 Th
0.5000 0.0000 0.7604 Th
0.0000 0.0000 0.0000 Al
0.0000 0.5000 0.6470 Al
0.5000 0.0000 0.3530 Al
0.5000 0.5000 0.0000 Al
0.0000 0.0000 0.5000 Cd
0.0000 0.5000 0.8761 Cu
0.5000 0.0000 0.1239 Cu
0.5000 0.5000 0.5000 Cu
```


No. 5
An optimized crystal structure of AlVCdCu2, computed with PBE.

DOS at the Fermi energy (states/eV per atom): 0.594
E_form (eV per atom): 0.745
Total magnetic moment (Bohr magnetons per cell): 2.25

```
AlVCdCu2
1.0
4.4795 0.0000 0.0000
0.0000 4.4795 0.0000
0.0000 0.0000 4.7504
Al V Cd Cu
1 1 1 2
direct
0.0000 0.0000 0.0000 Al
0.0000 0.0000 0.5000 V
0.5000 0.5000 0.5000 Cd
0.0000 0.5000 0.0000 Cu
0.5000 0.0000 0.0000 Cu
```


No. 6
An optimized crystal structure of Y2Al4CdCu3, computed with PBE.

DOS at the Fermi energy (states/eV per atom): 0.480
E_form (eV per atom): -0.372
Total magnetic moment (Bohr magnetons per cell): 0.00

```
Y2Al4CdCu3
1.0
4.1822 0.0000 0.0000
0.0000 4.1822 0.0000
0.0000 0.0000 10.5226
Y Al Cd Cu
2 4 1 3
direct
0.0000 0.5000 0.2392 Y
0.5000 0.0000 0.7608 Y
0.0000 0.0000 0.0000 Al
0.0000 0.5000 0.6508 Al
0.5000 0.0000 0.3492 Al
0.5000 0.5000 0.0000 Al
0.0000 0.0000 0.5000 Cd
0.0000 0.5000 0.8752 Cu
0.5000 0.0000 0.1248 Cu
0.5000 0.5000 0.5000 Cu
```


No. 7
An optimized crystal structure of Dy4AlCd, computed with PBE.

DOS at the Fermi energy (states/eV per atom): 1.532
Excess energy over the best structure of this formula in the dataset (eV/f.u.): 1.442
E_form (eV per atom): 0.034
Total magnetic moment (Bohr magnetons per cell): 0.00

```
Dy4AlCd
1.0
2.5357 1.4640 8.3522
-2.5357 1.4640 8.3522
0.0000 -2.9279 8.3522
Dy Al Cd
4 1 1
direct
0.1224 0.1224 0.1224 Dy
0.3731 0.3731 0.3731 Dy
0.6269 0.6269 0.6269 Dy
0.8776 0.8776 0.8776 Dy
0.0000 0.0000 0.0000 Al
0.5000 0.5000 0.5000 Cd
```


No. 8
An optimized crystal structure of Dy3AlCd2, computed with PBE.

DOS at the Fermi energy (states/eV per atom): 0.990
Excess energy over the best structure of this formula in the dataset (eV/f.u.): 0.000
E_form (eV per atom): -0.344
Total magnetic moment (Bohr magnetons per cell): 0.00

```
Dy3AlCd2
1.0
3.6687 0.0000 0.0000
0.0000 3.6687 0.0000
0.0000 0.0000 11.2656
Dy Al Cd
3 1 2
direct
0.0000 0.0000 0.0000 Dy
0.0000 0.0000 0.3430 Dy
0.0000 0.0000 0.6570 Dy
0.5000 0.5000 0.5000 Al
0.5000 0.5000 0.1703 Cd
0.5000 0.5000 0.8297 Cd
```


No. 9
An optimized crystal structure of Dy6AlCd2, computed with PBE.

DOS at the Fermi energy (states/eV per atom): 1.034
E_form (eV per atom): -0.169
Total magnetic moment (Bohr magnetons per cell): 0.00

```
Dy6AlCd2
1.0
-4.9158 5.0044 5.1659
4.9158 -5.0044 5.1659
4.9158 5.0044 -5.1659
Dy Al Cd
12 2 4
direct
0.0640 0.2408 0.8232 Dy
0.2379 0.5648 0.3269 Dy
0.2379 0.9111 0.6731 Dy
0.3055 0.2433 0.5488 Dy
0.3055 0.7567 0.0622 Dy
0.4176 0.2408 0.1768 Dy
0.5824 0.7592 0.8232 Dy
0.6945 0.2433 0.9378 Dy
0.6945 0.7567 0.4512 Dy
0.7621 0.0889 0.3269 Dy
0.7621 0.4352 0.6731 Dy
0.9360 0.7592 0.1768 Dy
0.5000 0.0000 0.5000 Al
0.5000 0.5000 0.0000 Al
0.0000 0.1402 0.1402 Cd
0.0000 0.8598 0.8598 Cd
0.1412 0.5000 0.6412 Cd
0.8588 0.5000 0.3588 Cd
```


No. 10
An optimized crystal structure of Dy4Al2Cd5, computed with PBE.

DOS at the Fermi energy (states/eV per atom): 0.876
E_form (eV per atom): -0.297
Total magnetic moment (Bohr magnetons per cell): 0.00

```
Dy4Al2Cd5
1.0
7.7457 0.0000 0.0000
0.0000 3.5481 0.0000
-0.8316 0.0000 9.8344
Dy Al Cd
4 2 5
direct
0.1677 0.0000 0.3777 Dy
0.2653 0.0000 0.9393 Dy
0.7347 0.0000 0.0607 Dy
0.8323 0.0000 0.6223 Dy
0.0594 0.5000 0.1295 Al
0.9406 0.5000 0.8705 Al
0.1835 0.5000 0.6610 Cd
0.4340 0.5000 0.1989 Cd
0.5000 0.5000 0.5000 Cd
0.5660 0.5000 0.8011 Cd
0.8165 0.5000 0.3390 Cd
```


No. 11
An optimized crystal structure of Dy4Al2Cd, computed with PBE.

DOS at the Fermi energy (states/eV per atom): 0.912
Excess energy over the best structure of this formula in the dataset (eV/f.u.): 0.000
E_form (eV per atom): -0.231
Total magnetic moment (Bohr magnetons per cell): 0.00

```
Dy4Al2Cd
1.0
2.5657 1.4813 8.2513
-2.5657 1.4813 8.2513
0.0000 -2.9626 8.2513
Dy Al Cd
4 2 1
direct
0.1170 0.1170 0.1170 Dy
0.3698 0.3698 0.3698 Dy
0.6302 0.6302 0.6302 Dy
0.8830 0.8830 0.8830 Dy
0.2470 0.2470 0.2470 Al
0.7530 0.7530 0.7530 Al
0.5000 0.5000 0.5000 Cd
```


No. 12
An optimized crystal structure of Dy4AlCd3, computed with PBE.

DOS at the Fermi energy (states/eV per atom): 0.840
Excess energy over the best structure of this formula in the dataset (eV/f.u.): 0.465
E_form (eV per atom): -0.281
Total magnetic moment (Bohr magnetons per cell): 0.00

```
Dy4AlCd3
1.0
3.6139 0.0000 0.0000
0.0000 4.8130 0.0000
0.0000 0.0000 11.9740
Dy Al Cd
4 1 3
direct
0.0000 0.0000 0.0000 Dy
0.0000 0.5000 0.3132 Dy
0.5000 0.0000 0.4906 Dy
0.5000 0.5000 0.8179 Dy
0.5000 0.0000 0.2286 Al
0.0000 0.0000 0.7283 Cd
0.0000 0.5000 0.5825 Cd
0.5000 0.5000 0.0871 Cd
```